Here is an optimized crystal structure of CsNaPaS3 from Alexandria. Energies are from PBE.

Lattice parameters (Å, degrees): 8.673 4.187 11.317 90.00 108.26 90.00
Space group P2_1/m (No. 11)
Asymmetric unit:
Cs: 0.128 0.250 0.178
Na: 0.160 0.750 0.553
Pa: 0.377 0.250 0.841
S: 0.077 0.250 0.683
S: 0.311 0.750 0.983
S: 0.464 0.750 0.723

Properties
**Size of the total moment**: 1.0 μB/f.u.
**Raw total energy**: -5.44 eV/atom
**E_form (uncorrected)**: -1429 meV per atom
**Crystal system**: monoclinic